Entry 1:
# Sr2ScRh PBE optimized geometry
# - Offset from the most stable computed form: 0.248 eV/atom
# - Formation energy from the elements: -0.017 eV per atom
data_Sr2ScRh
_cell_length_a 11.381
_cell_length_b 11.381
_cell_length_c 4.888
_cell_angle_alpha 90.00
_cell_angle_beta 90.00
_cell_angle_gamma 90.00
_space_group_name_H-M_alt 'I -4 2 d'
_space_group_IT_number 122
_space_group_name_Hall 'I -4 2bw'
loop_
_atom_site_label
_atom_site_type_symbol
_atom_site_fract_x
_atom_site_fract_y
_atom_site_fract_z
Sr1 Sr 0.093 0.750 0.125
Sc1 Sc 0.000 0.000 0.500
Rh1 Rh 0.000 0.000 0.000

Entry 2:
# KNaPuBr6 PBE optimized geometry
# - Energy relative to the elements, uncorrected: -1.48 eV per atom
data_KNaPuBr6
_cell_length_a 7.5162
_cell_length_b 7.5162
_cell_length_c 14.2589
_cell_angle_alpha 90.00
_cell_angle_beta 90.00
_cell_angle_gamma 120.00
_space_group_name_H-M_alt 'P -3 1 c'
_space_group_IT_number 163
_space_group_name_Hall '-P 3 2c'
loop_
_atom_site_label
_atom_site_type_symbol
_atom_site_fract_x
_atom_site_fract_y
_atom_site_fract_z
K1 K 0.0000 0.0000 0.0000
Na1 Na 0.3333 0.6667 0.2500
Pu1 Pu 0.3333 0.6667 0.7500
Br1 Br 0.0240 0.3754 0.6372

Entry 3:
# Co2OsPt PBE optimized geometry
# - Formation energy from the elements: 0.150 eV per atom
data_Co2OsPt
_cell_length_a 3.789
_cell_length_b 3.789
_cell_length_c 3.583
_cell_angle_alpha 90.00
_cell_angle_beta 90.00
_cell_angle_gamma 90.00
_space_group_name_H-M_alt 'P 4/m m m'
_space_group_IT_number 123
_space_group_name_Hall '-P 4 2'
loop_
_atom_site_label
_atom_site_type_symbol
_atom_site_fract_x
_atom_site_fract_y
_atom_site_fract_z
Co1 Co 0.000 0.500 0.000
Os1 Os 0.000 0.000 0.500
Pt1 Pt 0.500 0.500 0.500

| no. | calculated total energy (eV/atom) |
| --- | --- |
| 1 | -4.279 |
| 2 | -4.453 |
| 3 | -7.720 |